A plane-wave DFT calculation with PBEsol was carried out for PtPb after structural relaxation.

Values from the calculation:
SG: P6_3/mmc
energy of formation from the pure elements: 102 meV/atom
crystal system: hexagonal
DFT total energy: -10.76 eV per formula unit

a b c (Å): 3.7096 3.7096 7.3370
angles (deg): 90.00 90.00 120.00
Closest atoms and distances in Å follow each position.
Fractional positions:
Pb (0.0000, 0.0000, 0.0000)  6 Pt 2.82
Pb (0.0000, 0.0000, 0.5000)  6 Pt 2.82
Pt (0.6667, 0.3333, 0.7500)  6 Pb 2.82
Pt (0.3333, 0.6667, 0.2500)  6 Pb 2.82